Material: MgCoCu2
Method: DFT, PBE
State: relaxed

Cell: 5.217 7.548 2.642 Å, 90.00 91.18 90.00°
Space group C2/m (No. 12)
One atom of each set of equivalent atoms:
1 Mg 0.000 0.000 0.000 (multiplicity 2)
2 Co 0.000 0.500 0.000 (multiplicity 2)
3 Cu 0.250 0.250 0.500 (multiplicity 4)

Computed properties:
Calculated volume = 13.00 Å³/atom
Density = 6.7 g/cm³
Final energy = -4.11 eV/atom

Material: LaHoHg2
Method: DFT, PBE
State: relaxed

Cell: 3.8800 3.8800 27.6444 Å, 90.00 90.00 120.00°
Space group R3m (No. 160, hexagonal axes)
One atom of each set of equivalent atoms:
1 La 0.0000 0.0000 0.0000 (multiplicity 3)
2 Ho 0.0000 0.0000 0.8331 (multiplicity 3)
3 Hg 0.0000 0.0000 0.4216 (multiplicity 3)
4 Hg 0.0000 0.0000 0.5782 (multiplicity 3)

Computed properties:
Calculated volume = 30.04 Å³/atom
Density = 9.7 g/cm³
Final energy = -2.85 eV/atom

Material: BiAsO3
Method: DFT, PBE
State: relaxed

Cell: 4.007 4.007 4.007 Å, 90.00 90.00 90.00°
Space group Pm-3m (No. 221)
One atom of each set of equivalent atoms:
1 Bi 0.000 0.000 0.000 (multiplicity 1)
2 As 0.500 0.500 0.500 (multiplicity 1)
3 O 0.000 0.500 0.500 (multiplicity 3)

Computed properties:
Calculated volume = 12.87 Å³/atom
E_form (uncorrected) = -0.717 eV per atom
Density = 8.6 g/cm³
Final energy = -5.40 eV/atom

Material: PrVRu
Method: DFT, PBE
State: relaxed

Cell: 3.947 11.367 5.534 Å, 90.00 90.00 90.00°
Space group Cmcm (No. 63)
One atom of each set of equivalent atoms:
1 Pr 0.000 0.213 0.250 (multiplicity 4)
2 V 0.000 0.500 0.000 (multiplicity 4)
3 Ru 0.000 0.056 0.750 (multiplicity 4)

Computed properties:
Calculated volume = 20.69 Å³/atom
Density = 7.8 g/cm³
Final energy = -7.79 eV/atom

Material: MnZn6Cu2
Method: DFT, PBE
State: relaxed

Cell: 9.077 4.245 6.652 Å, 90.00 103.52 90.00°
Space group C2/m (No. 12)
One atom of each set of equivalent atoms:
1 Mn 0.000 0.000 0.000 (multiplicity 2)
2 Zn 0.105 0.000 0.670 (multiplicity 4)
3 Zn 0.167 0.500 0.002 (multiplicity 4)
4 Zn 0.221 0.000 0.339 (multiplicity 4)
5 Cu 0.054 0.500 0.332 (multiplicity 4)

Computed properties:
Calculated volume = 13.85 Å³/atom
Density = 7.7 g/cm³
Final energy = -2.77 eV/atom

Material: Pm2IrRh
Method: DFT, PBE
State: relaxed

Cell: 4.909 4.909 3.620 Å, 90.00 90.00 90.00°
Space group P4/mmm (No. 123)
One atom of each set of equivalent atoms:
1 Pm 0.000 0.500 0.000 (multiplicity 2)
2 Ir 0.000 0.000 0.500 (multiplicity 1)
3 Rh 0.500 0.500 0.500 (multiplicity 1)

Computed properties:
Calculated volume = 21.81 Å³/atom
Density = 11.1 g/cm³
Final energy = -7.08 eV/atom
Distance to the lowest polymorph of the same formula = 14 kJ/mol of formula units

Material: Bi6Pt2Rh
Method: DFT, PBE
State: relaxed

Cell: 13.100 3.522 10.117 Å, 90.00 96.51 90.00°
Space group C2/m (No. 12)
One atom of each set of equivalent atoms:
1 Bi 0.071 0.000 0.251 (multiplicity 4)
2 Bi 0.135 0.500 0.929 (multiplicity 4)
3 Bi 0.161 0.500 0.582 (multiplicity 4)
4 Pt 0.237 0.500 0.200 (multiplicity 4)
5 Rh 0.000 0.000 0.500 (multiplicity 2)

Computed properties:
Calculated volume = 25.76 Å³/atom
Density = 12.5 g/cm³
Final energy = -4.86 eV/atom
Distance to the lowest polymorph of the same formula = 23 kJ/mol of formula units

Material: LaTb2Nd
Method: DFT, PBE
State: relaxed

Cell: 6.143 5.566 8.969 Å, 90.00 97.61 90.00°
Space group P2/m (No. 10)
One atom of each set of equivalent atoms:
1 La 0.000 0.000 0.000 (multiplicity 1)
2 La 0.500 0.500 0.500 (multiplicity 1)
3 Tb 0.156 0.000 0.372 (multiplicity 2)
4 Tb 0.258 0.500 0.106 (multiplicity 2)
5 Nd 0.399 0.000 0.789 (multiplicity 2)

Computed properties:
Calculated volume = 37.99 Å³/atom
Density = 6.6 g/cm³
Final energy = -4.30 eV/atom
Distance to the lowest polymorph of the same formula = 164 kJ/mol of formula units

Material: KSm2Cu2Se4
Method: DFT, PBE
State: relaxed

Cell: 15.649 3.873 8.902 Å, 90.00 116.26 90.00°
Space group C2/m (No. 12)
One atom of each set of equivalent atoms:
1 K 0.000 0.000 0.000 (multiplicity 2)
2 Sm 0.116 0.000 0.607 (multiplicity 4)
3 Cu 0.188 0.500 0.406 (multiplicity 4)
4 Se 0.009 0.500 0.312 (multiplicity 4)
5 Se 0.227 0.000 0.267 (multiplicity 4)

Computed properties:
Calculated volume = 26.88 Å³/atom
E_form (uncorrected) = -1.109 eV per atom
Density = 5.4 g/cm³
Final energy = -4.74 eV/atom

Material: InTcAs2
Method: DFT, PBE
State: relaxed

Cell: 4.087 4.087 8.678 Å, 90.00 90.00 90.00°
Space group I-4m2 (No. 119)
One atom of each set of equivalent atoms:
1 In 0.000 0.000 0.000 (multiplicity 2)
2 Tc 0.000 0.500 0.750 (multiplicity 2)
3 As 0.000 0.000 0.500 (multiplicity 2)
4 As 0.000 0.500 0.250 (multiplicity 2)

Computed properties:
Calculated volume = 18.12 Å³/atom
Density = 8.3 g/cm³
Final energy = -5.10 eV/atom

Material: CaAc2IrPb
Method: DFT, PBE
State: relaxed

Cell: 5.753 5.753 5.529 Å, 90.00 90.00 90.00°
Space group P4mm (No. 99)
One atom of each set of equivalent atoms:
1 Ca 0.000 0.000 0.000 (multiplicity 1)
2 Ac 0.000 0.500 0.500 (multiplicity 2)
3 Ir 0.000 0.000 0.500 (multiplicity 1)
4 Pb 0.500 0.500 0.001 (multiplicity 1)

Computed properties:
Calculated volume = 36.59 Å³/atom
Density = 8.1 g/cm³
Final energy = -5.03 eV/atom

Material: NdAlHg
Method: DFT, PBE
State: relaxed

Cell: 4.721 7.648 8.055 Å, 90.00 90.00 90.00°
Space group Imm2 (No. 44)
One atom of each set of equivalent atoms:
1 Nd 0.000 0.000 0.000 (multiplicity 2)
2 Nd 0.000 0.500 0.063 (multiplicity 2)
3 Al 0.000 0.306 0.695 (multiplicity 4)
4 Hg 0.000 0.216 0.366 (multiplicity 4)

Computed properties:
Calculated volume = 24.24 Å³/atom
Density = 8.5 g/cm³
Final energy = -3.41 eV/atom

Material: Ga5Hg12S3
Method: DFT, PBE
State: relaxed

Cell: 16.358 16.358 16.358 Å, 90.00 90.00 90.00°
Space group Ia-3d (No. 230)
One atom of each set of equivalent atoms:
1 Ga 0.000 0.000 0.000 (multiplicity 16)
2 Ga 0.000 0.250 0.375 (multiplicity 24)
3 Hg 0.028 0.082 0.647 (multiplicity 96)
4 S 0.000 0.250 0.125 (multiplicity 24)

Computed properties:
Calculated volume = 27.36 Å³/atom
E_form (uncorrected) = 0.093 eV per atom
Density = 8.7 g/cm³
Final energy = -1.46 eV/atom

Material: SrTl2Sb
Method: DFT, PBE
State: relaxed

Cell: 4.864 4.884 5.324 Å, 90.00 90.00 90.00°
Space group Pmmm (No. 47)
One atom of each set of equivalent atoms:
1 Sr 0.000 0.000 0.000 (multiplicity 1)
2 Tl 0.000 0.500 0.500 (multiplicity 1)
3 Tl 0.500 0.000 0.500 (multiplicity 1)
4 Sb 0.500 0.500 0.000 (multiplicity 1)

Computed properties:
Calculated volume = 31.62 Å³/atom
E_form (uncorrected) = -0.442 eV per atom
Density = 8.1 g/cm³
Final energy = -3.08 eV/atom
Distance to the lowest polymorph of the same formula = 0 kJ/mol of formula units

Material: VGaNiRu
Method: DFT, PBE
State: relaxed

Cell: 5.949 5.949 5.949 Å, 90.00 90.00 90.00°
Space group F-43m (No. 216)
One atom of each set of equivalent atoms:
1 V 0.000 0.000 0.000 (multiplicity 4)
2 Ga 0.000 0.000 0.500 (multiplicity 4)
3 Ni 0.250 0.250 0.750 (multiplicity 4)
4 Ru 0.250 0.250 0.250 (multiplicity 4)

Computed properties:
Calculated volume = 13.16 Å³/atom
Density = 8.8 g/cm³
Final energy = -7.10 eV/atom
Distance to the lowest polymorph of the same formula = 13 kJ/mol of formula units

Material: RbSbPb2Cl8
Method: DFT, PBE
State: relaxed

Cell: 6.646 8.979 6.890 Å, 90.00 90.99 90.00°
Space group P2/m (No. 10)
One atom of each set of equivalent atoms:
1 Rb 0.000 0.000 0.000 (multiplicity 1)
2 Sb 0.000 0.500 0.000 (multiplicity 1)
3 Pb 0.500 0.251 0.500 (multiplicity 2)
4 Cl 0.233 0.290 0.162 (multiplicity 4)
5 Cl 0.244 0.500 0.688 (multiplicity 2)
6 Cl 0.278 0.000 0.625 (multiplicity 2)

Computed properties:
Calculated volume = 34.26 Å³/atom
E_form (uncorrected) = -1.181 eV per atom
Density = 3.7 g/cm³
Final energy = -3.45 eV/atom

Material: CaSbIr2
Method: DFT, PBE
State: relaxed

Cell: 3.1871 3.1871 26.4458 Å, 90.00 90.00 120.00°
Space group R-3m (No. 166, hexagonal axes)
One atom of each set of equivalent atoms:
1 Ca 0.0000 0.0000 0.0000 (multiplicity 3)
2 Sb 0.0000 0.0000 0.5000 (multiplicity 3)
3 Ir 0.0000 0.0000 0.2439 (multiplicity 6)

Computed properties:
Calculated volume = 19.39 Å³/atom
E_form (uncorrected) = 0.214 eV per atom
Density = 11.7 g/cm³
Final energy = -5.75 eV/atom

Material: Cd2InPd2
Method: DFT, PBE
State: relaxed

Cell: 7.902 7.902 3.107 Å, 90.00 90.00 90.00°
Space group P4/mbm (No. 127)
One atom of each set of equivalent atoms:
1 Cd 0.133 0.367 0.000 (multiplicity 4)
2 In 0.000 0.000 0.000 (multiplicity 2)
3 Pd 0.164 0.664 0.500 (multiplicity 4)

Computed properties:
Calculated volume = 19.40 Å³/atom
Density = 9.5 g/cm³
Final energy = -3.22 eV/atom
Distance to the lowest polymorph of the same formula = 55 kJ/mol of formula units

Material: KBrF5
Method: DFT, PBE
State: relaxed

Cell: 9.680 6.199 9.267 Å, 90.00 116.05 90.00°
Space group C2/c (No. 15)
One atom of each set of equivalent atoms:
1 K 0.000 0.005 0.250 (multiplicity 4)
2 Br 0.000 0.500 0.000 (multiplicity 4)
3 F 0.000 0.488 0.250 (multiplicity 4)
4 F 0.087 0.217 0.033 (multiplicity 8)
5 F 0.198 0.375 0.604 (multiplicity 8)

Computed properties:
Calculated volume = 17.84 Å³/atom
E_form (uncorrected) = -1.523 eV per atom
Density = 2.8 g/cm³
Final energy = -3.26 eV/atom

Material: NdHoCdRu
Method: DFT, PBE
State: relaxed

Cell: 3.510 3.510 7.794 Å, 90.00 90.00 90.00°
Space group P4mm (No. 99)
One atom of each set of equivalent atoms:
1 Nd 0.000 0.000 0.000 (multiplicity 1)
2 Ho 0.000 0.000 0.568 (multiplicity 1)
3 Cd 0.500 0.500 0.299 (multiplicity 1)
4 Ru 0.500 0.500 0.772 (multiplicity 1)

Computed properties:
Calculated volume = 24.00 Å³/atom
Density = 9.0 g/cm³
Final energy = -5.21 eV/atom
Distance to the lowest polymorph of the same formula = 0 kJ/mol of formula units